Pm2DyZr: relaxed, PBE-GGA.

Results
Total energy   -5.5476 eV per atom
Theoretical density   7.48 g/cm³
SG   R3m
Crystal system   trigonal
M_tot   0.00 μB per cell
Distance to the lowest polymorph of the same formula   0 meV/atom
Energy relative to the elements   0.115 eV/atom

a b c (Å): 11.5593 11.5593 11.5593
angles (deg): 17.42 17.42 17.42
Last column: nearest neighbours and their distance in Å.
Fractional positions:
Pm (0.0000, 0.0000, 0.0000)  3 Zr 3.37, 6 Pm 3.50, 3 Dy 3.64
Pm (0.1758, 0.1758, 0.1758)  3 Zr 3.36, 6 Pm 3.50, 3 Dy 3.60
Dy (0.7553, 0.7553, 0.7553)  6 Dy 3.50, 6 Pm 3.60-3.64
Zr (0.5876, 0.5876, 0.5876)  6 Pm 3.36-3.37, 6 Zr 3.50